VASP calculation (PBE-GGA) on an optimized crystal structure of FeHgPt2.

Lattice parameters (Å, degrees): 2.8181 3.9043 5.9629 90.00 90.00 90.00
Closest atoms and distances in Å follow each position.
Element x y z (fractional)
Hg: 0.5000 0.5000 0.7502  2 Hg 2.82, 6 Pt 2.84-3.12, 4 Fe 2.96
Fe: 0.0000 0.0000 0.4613  5 Pt 2.65-2.66, 2 Fe 2.82, 4 Hg 2.96
Pt: 0.5000 0.5000 0.2740  4 Fe 2.65, 6 Pt 2.82-2.86, 1 Hg 2.84
Pt: 0.0000 0.0000 0.0146  1 Fe 2.66, 6 Pt 2.82-2.86, 4 Hg 2.88


VASP calculation (PBE-GGA) on an optimized crystal structure of FeHgPt2.

Lattice parameters (Å, degrees): 9.3360 9.3360 9.3360 17.60 17.60 17.60
Closest atoms and distances in Å follow each position.
Element x y z (fractional)
Fe: 0.5046 0.5046 0.5046  3 Pt 2.62, 6 Fe 2.86, 3 Hg 2.86
Pt: 0.2449 0.2449 0.2449  3 Fe 2.62, 9 Pt 2.86-2.89
Pt: 0.9974 0.9974 0.9974  9 Pt 2.86-2.89, 3 Hg 2.96
Hg: 0.7531 0.7531 0.7531  6 Hg 2.86, 3 Fe 2.86, 3 Pt 2.96


VASP calculation (PBE-GGA) on an optimized crystal structure of Fe2HgPt9.

Lattice parameters (Å, degrees): 3.9619 3.9619 11.9518 90.00 90.00 90.00
Closest atoms and distances in Å follow each position.
Element x y z (fractional)
Pt: 0.5000 0.0000 0.5000  8 Pt 2.75-2.80, 4 Fe 2.80
Pt: 0.5000 0.5000 0.0000  4 Hg 2.80, 8 Pt 2.93
Pt: 0.0000 0.5000 0.5000  8 Pt 2.75-2.80, 4 Fe 2.80
Pt: 0.0000 0.5000 0.1807  2 Fe 2.70, 8 Pt 2.75-2.93, 2 Hg 2.93
Pt: 0.5000 0.0000 0.1807  2 Fe 2.70, 8 Pt 2.75-2.93, 2 Hg 2.93
Pt: 0.0000 0.5000 0.8193  2 Fe 2.70, 8 Pt 2.75-2.93, 2 Hg 2.93
Pt: 0.5000 0.5000 0.3398  8 Pt 2.75, 4 Fe 2.80
Pt: 0.5000 0.5000 0.6602  8 Pt 2.75, 4 Fe 2.80
Pt: 0.5000 0.0000 0.8193  2 Fe 2.70, 8 Pt 2.75-2.93, 2 Hg 2.93
Fe: 0.0000 0.0000 0.6658  12 Pt 2.70-2.80
Fe: 0.0000 0.0000 0.3342  12 Pt 2.70-2.80
Hg: 0.0000 0.0000 0.0000  12 Pt 2.80-2.93


VASP calculation (PBE-GGA) on an optimized crystal structure of FeHgPt2.

Lattice parameters (Å, degrees): 9.5492 9.5492 9.5492 17.14 17.14 17.14
Closest atoms and distances in Å follow each position.
Element x y z (fractional)
Pt: 0.9896 0.9896 0.9896  3 Fe 2.63, 6 Pt 2.85
Pt: 0.5104 0.5104 0.5104  3 Fe 2.63, 6 Pt 2.85
Fe: 0.2500 0.2500 0.2500  6 Pt 2.63, 6 Fe 2.85
Hg: 0.7500 0.7500 0.7500  6 Hg 2.85, 6 Pt 3.11


| no. | ΔH_f (0 K) (eV per atom) | total magnetic moment (μB per cell) |
| --- | --- | --- |
| 1 | 0.049 | 3.406 |
| 2 | 0.095 | 3.480 |
| 3 | -0.139 | 9.570 |
| 4 | -0.023 | 3.905 |